[1]
The following is a PBE calculation of an optimized crystal structure of Pu2NiIr, from Alexandria via LeMat-Bulk.

abc: 3.6197 3.6197 5.8699
angles: 90.00 90.00 90.00
With the nearest neighbours (Å) after each atom.
Fractional coordinates of all 4 atoms:
Pu 0.0000 0.0000 0.2457  2 Pu 2.88-2.99, 4 Ni 2.94, 4 Ir 2.96
Pu 0.0000 0.0000 0.7543  2 Pu 2.88-2.99, 4 Ni 2.94, 4 Ir 2.96
Ni 0.5000 0.5000 0.0000  2 Ir 2.93, 8 Pu 2.94
Ir 0.5000 0.5000 0.5000  2 Ni 2.93, 8 Pu 2.96

Summary:
Spin magnetization in μB per formula unit: 10.484
D(E_F) in states/eV per cell: 11.96

[2]
The following is a PBE calculation of an optimized crystal structure of PuNiIr, from Alexandria via LeMat-Bulk.

abc: 4.1380 4.1380 3.7601
angles: 90.00 90.00 120.00
With the nearest neighbours (Å) after each atom.
Fractional coordinates of all 3 atoms:
Pu 0.0000 0.0000 0.0000  6 Ni 3.04, 6 Ir 3.04
Ni 0.6667 0.3333 0.5000  3 Ir 2.39
Ir 0.3333 0.6667 0.5000  3 Ni 2.39

Summary:
Spin magnetization in μB per formula unit: 4.887
D(E_F) in states/eV per cell: 7.77

[3]
The following is a PBE calculation of an optimized crystal structure of Pu2NiIr2, from Alexandria via LeMat-Bulk.

abc: 5.3715 5.3715 5.3715
angles: 133.35 117.75 81.26
With the nearest neighbours (Å) after each atom.
Fractional coordinates of all 5 atoms:
Pu 0.2009 0.2009 0.0000  6 Ir 2.83-3.00
Pu 0.7991 0.7991 0.0000  6 Ir 2.83-3.00
Ni 0.5000 0.0000 0.5000  4 Ir 2.57
Ir 0.2409 0.5000 0.7409  2 Ni 2.57, 1 Ir 2.68, 2 Pu 2.83
Ir 0.7591 0.5000 0.2591  2 Ni 2.57, 1 Ir 2.68, 2 Pu 2.83

Summary:
Spin magnetization in μB per formula unit: 9.688
D(E_F) in states/eV per cell: 14.09

[4]
The following is a PBE calculation of an optimized crystal structure of PuNi4Ir, from Alexandria via LeMat-Bulk.

abc: 4.8677 4.8677 4.8677
angles: 60.00 60.00 60.00
With the nearest neighbours (Å) after each atom.
Fractional coordinates of all 6 atoms:
Pu 0.0000 0.0000 0.0000  12 Ni 2.86, 4 Ir 2.98
Ni 0.3758 0.3758 0.3758  6 Ni 2.42-2.45
Ni 0.3758 0.3758 0.8727  6 Ni 2.42-2.45
Ni 0.3758 0.8727 0.3758  6 Ni 2.42-2.45
Ni 0.8727 0.3758 0.3758  6 Ni 2.42-2.45
Ir 0.7500 0.7500 0.7500  12 Ni 2.85, 4 Pu 2.98

Summary:
Spin magnetization in μB per formula unit: 2.185
E above lowest polymorph in eV/atom: 0.0000
D(E_F) in states/eV per cell: 15.39

| no. | raw total energy (eV per cell) |
| --- | --- |
| 1 | -44.28 |
| 2 | -29.83 |
| 3 | -54.29 |
| 4 | -47.25 |